Record 1
DFT (PBE-GGA) results for a relaxed P2IrAu crystal.

Properties
Mass density (kg/m³): 11949
Energy relative to the elements (eV per atom): 0.745
Energy above the most stable polymorph in this dataset (meV per atom): 970
SG: F-43m
Density of states at the Fermi level (states/eV/f.u.): 3.99

a b c (Å): 4.4591 4.4591 4.4591
angles (deg): 60.00 60.00 60.00
With the nearest neighbours (Å) after each atom.
Element x y z (fractional)
1 P 0.0000 0.0000 0.0000  4 Au 2.73, 4 P 2.73
2 P 0.2500 0.2500 0.2500  4 Ir 2.73, 4 P 2.73
3 Ir 0.5000 0.5000 0.5000  4 Au 2.73, 4 P 2.73
4 Au 0.7500 0.7500 0.7500  4 P 2.73, 4 Ir 2.73



Record 2
DFT (PBE-GGA) results for a relaxed KRuSe2 crystal.

Properties
Mass density (kg/m³): 4896
Formation energy (no corrections) (eV per atom): -0.1045
SG: P4mm
Density of states at the Fermi level (states/eV/f.u.): 4.23

a b c (Å): 3.5220 3.5220 8.1504
angles (deg): 90.00 90.00 90.00
With the nearest neighbours (Å) after each atom.
Element x y z (fractional)
1 K 0.0000 0.0000 0.0000  5 Se 3.19, 4 K 3.52
2 Ru 0.5000 0.5000 0.4682  5 Se 2.35-2.57
3 Se 0.0000 0.0000 0.3915  4 Ru 2.57
4 Se 0.5000 0.5000 0.7561  1 Ru 2.35



Record 3
DFT (PBE-GGA) results for a relaxed InAsCl2 crystal.

Properties
Mass density (kg/m³): 4771
Formation energy (no corrections) (eV per atom): 0.0671
Energy above the most stable polymorph in this dataset (meV per atom): 546
SG: I4/mmm
Density of states at the Fermi level (states/eV/f.u.): 3.38

a b c (Å): 5.4656 5.4656 5.4656
angles (deg): 131.10 131.10 71.65
With the nearest neighbours (Å) after each atom.
Element x y z (fractional)
1 In 0.0000 0.0000 0.0000  8 Cl 3.17, 4 As 3.20
2 As 0.5000 0.5000 0.0000  8 Cl 3.17, 4 In 3.20
3 Cl 0.2500 0.7500 0.5000  4 In 3.17, 4 As 3.17, 4 Cl 3.20
4 Cl 0.7500 0.2500 0.5000  4 In 3.17, 4 As 3.17, 4 Cl 3.20



Record 4
DFT (PBE-GGA) results for a relaxed BeFeRu2 crystal.

Properties
Mass density (kg/m³): 8929
Energy relative to the elements (eV per atom): 0.179
SG: Pmmm
Density of states at the Fermi level (states/eV/f.u.): 4.55

a b c (Å): 2.9155 3.9435 4.3188
angles (deg): 90.00 90.00 90.00
With the nearest neighbours (Å) after each atom.
Element x y z (fractional)
1 Be 0.0000 0.0000 0.0000  4 Ru 2.45, 4 Fe 2.61
2 Fe 0.5000 0.0000 0.5000  4 Ru 2.45, 4 Be 2.61
3 Ru 0.0000 0.5000 0.5000  4 Fe 2.45, 4 Ru 2.61
4 Ru 0.5000 0.5000 0.0000  4 Be 2.45, 4 Ru 2.61



Record 5
DFT (PBE-GGA) results for a relaxed PmNdPaSn crystal.

Properties
Mass density (kg/m³): 9315
Energy relative to the elements (eV per atom): 0.024
SG: F-43m
Density of states at the Fermi level (states/eV/f.u.): 6.87

a b c (Å): 5.4412 5.4412 5.4412
angles (deg): 60.00 60.00 60.00
With the nearest neighbours (Å) after each atom.
Element x y z (fractional)
1 Pm 0.0000 0.0000 0.0000  4 Sn 3.33, 4 Pa 3.33
2 Nd 0.5000 0.5000 0.5000  4 Sn 3.33, 4 Pa 3.33
3 Pa 0.7500 0.7500 0.7500  4 Nd 3.33, 4 Pm 3.33
4 Sn 0.2500 0.2500 0.2500  4 Nd 3.33, 4 Pm 3.33



Record 6
DFT (PBE-GGA) results for a relaxed MgRe crystal.

Properties
Mass density (kg/m³): 10601
Energy relative to the elements (eV per atom): 0.340
Energy above the most stable polymorph in this dataset (meV per atom): 273
SG: Cm
Density of states at the Fermi level (states/eV/f.u.): 1.31

a b c (Å): 5.7143 5.7143 6.4219
angles (deg): 103.27 103.27 29.05
With the nearest neighbours (Å) after each atom.
Element x y z (fractional)
1 Mg 0.0000 0.0000 0.0000  5 Mg 2.65-2.87, 4 Re 2.90-2.92
2 Mg 0.0456 0.0456 0.6136  5 Mg 2.65-2.87, 5 Re 2.83-2.93
3 Mg 0.3834 0.3834 0.2766  5 Re 2.79-2.82, 6 Mg 2.82-2.87
4 Re 0.3065 0.3065 0.6633  6 Re 2.69-2.87, 2 Mg 2.81-2.83
5 Re 0.6738 0.6738 0.3339  5 Re 2.62-2.87, 6 Mg 2.82-2.92
6 Re 0.7216 0.7216 0.9540  5 Re 2.62-2.87, 4 Mg 2.79-2.92



Record 7
DFT (PBE-GGA) results for a relaxed CaNb4Rh5 crystal.

Properties
Mass density (kg/m³): 8833
Energy relative to the elements (eV per atom): -0.318
SG: P4/mmm
Density of states at the Fermi level (states/eV/f.u.): 11.00

a b c (Å): 3.3684 3.3684 15.3459
angles (deg): 90.00 90.00 90.00
With the nearest neighbours (Å) after each atom.
Element x y z (fractional)
1 Ca 0.0000 0.0000 0.0000  8 Rh 3.15, 2 Nb 3.35, 4 Ca 3.37
2 Nb 0.0000 0.0000 0.2183  8 Rh 2.71-2.82, 1 Nb 2.91
3 Nb 0.0000 0.0000 0.4078  8 Rh 2.77, 2 Nb 2.83-2.91
4 Nb 0.0000 0.0000 0.5922  8 Rh 2.77, 2 Nb 2.83-2.91
5 Nb 0.0000 0.0000 0.7817  8 Rh 2.71-2.82, 1 Nb 2.91
6 Rh 0.5000 0.5000 0.1340  4 Nb 2.71, 1 Rh 2.80
7 Rh 0.5000 0.5000 0.3162  8 Nb 2.77-2.82, 2 Rh 2.80-2.82
8 Rh 0.5000 0.5000 0.5000  8 Nb 2.77, 2 Rh 2.82
9 Rh 0.5000 0.5000 0.6838  8 Nb 2.77-2.82, 2 Rh 2.80-2.82
10 Rh 0.5000 0.5000 0.8660  4 Nb 2.71, 1 Rh 2.80



Record 8
DFT (PBE-GGA) results for a relaxed K4U3CdO12 crystal.

Properties
Mass density (kg/m³): 6030
Formation energy (no corrections) (eV per atom): -2.6375
SG: Im-3m
Density of states at the Fermi level (states/eV/f.u.): 0.00

a b c (Å): 7.4905 7.4905 7.4905
angles (deg): 109.47 109.47 109.47
With the nearest neighbours (Å) after each atom.
Element x y z (fractional)
1 K 0.0000 0.0000 0.5000  12 O 3.06
2 K 0.0000 0.5000 0.0000  12 O 3.06
3 K 0.5000 0.0000 0.0000  12 O 3.06
4 K 0.5000 0.5000 0.5000  12 O 3.06
5 U 0.0000 0.5000 0.5000  6 O 1.97-2.16
6 U 0.5000 0.0000 0.5000  6 O 1.97-2.16
7 U 0.5000 0.5000 0.0000  6 O 1.97-2.16
8 Cd 0.0000 0.0000 0.0000  6 O 2.35
9 O 0.0000 0.2723 0.2723  1 U 1.97
10 O 0.0000 0.7277 0.7277  1 U 1.97
11 O 0.2500 0.5000 0.7500  2 U 2.16
12 O 0.2500 0.7500 0.5000  2 U 2.16
13 O 0.2723 0.0000 0.2723  1 U 1.97
14 O 0.2723 0.2723 0.0000  1 U 1.97
15 O 0.5000 0.2500 0.7500  2 U 2.16
16 O 0.5000 0.7500 0.2500  2 U 2.16
17 O 0.7277 0.0000 0.7277  1 U 1.97
18 O 0.7277 0.7277 0.0000  1 U 1.97
19 O 0.7500 0.2500 0.5000  2 U 2.16
20 O 0.7500 0.5000 0.2500  2 U 2.16